# K2LiUF6 | Alexandria via LeMat-Bulk | PBE | optimized geometry
# Magnetic moment, Bohr magnetons per cell: 6.0
# Volume, Å³ per cell: 334.45
# Density of states at the Fermi level, states/eV/atom: 0.477
# Energy relative to the elements, uncorrected, eV/atom: -3.007
data_K2LiUF6
_chemical_formula_sum 'K4 Li2 U2 F12'
_cell_length_a 10.6208
_cell_length_b 6.0915
_cell_length_c 6.2040
_cell_angle_alpha 90.00
_cell_angle_beta 123.57
_cell_angle_gamma 90.00
_space_group_name_H-M_alt 'C 1 2/m 1'
_space_group_IT_number 12
_space_group_name_Hall '-C 2y'
loop_
_atom_site_label
_atom_site_type_symbol
_atom_site_fract_x
_atom_site_fract_y
_atom_site_fract_z
K1 K 0.2436 0.0000 0.2264
Li1 Li 0.0000 0.5000 0.0000
U1 U 0.0000 0.0000 0.5000
F1 F 0.0450 0.2588 0.8084
F2 F 0.2441 0.5000 0.3279